A plane-wave DFT calculation with PBE was carried out for SbRu2 after structural relaxation.

- Energy relative to the elements, uncorrected: 110 kJ/mol of formula units

Cell: 6.060 6.060 6.060 Å, 90.00 90.00 90.00°
Space group Fm-3m (No. 225)
Asymmetric unit:
Sb1 0.000 0.000 0.000 [4 per cell]
Ru1 0.250 0.250 0.250 [8 per cell]

***

A plane-wave DFT calculation with PBE was carried out for La3TbDy7 after structural relaxation.

- Formation energy from the elements: 120 meV/atom
- Energy relative to the lowest polymorph listed for this composition: 0.0 meV/atom

Cell: 6.575 6.745 8.668 Å, 99.80 98.37 95.30°
Space group P-1 (No. 2)
Asymmetric unit:
La1 0.000 0.000 0.000 [1 per cell]
La2 0.195 0.560 0.166 [2 per cell]
Tb1 0.500 0.000 0.500 [1 per cell]
Dy1 0.012 0.769 0.578 [2 per cell]
Dy2 0.284 0.275 0.787 [2 per cell]
Dy3 0.437 0.792 0.853 [2 per cell]
Dy4 0.500 0.500 0.500 [1 per cell]

***

A plane-wave DFT calculation with PBE was carried out for ThGeRuN after structural relaxation.

- Energy relative to the elements, uncorrected: -382 kJ/mol of formula units

Cell: 4.242 4.242 8.092 Å, 90.00 90.00 90.00°
Space group P4/nmm (No. 129, origin choice 2)
Asymmetric unit:
Th1 0.250 0.250 0.135 [2 per cell]
Ge1 0.250 0.250 0.645 [2 per cell]
Ru1 0.250 0.750 0.500 [2 per cell]
N1 0.250 0.750 0.000 [2 per cell]

***

A plane-wave DFT calculation with PBE was carried out for RbVPt2 after structural relaxation.

- Formation energy from the elements: 698 meV/atom
- Energy relative to the lowest polymorph listed for this composition: 340.6 meV/atom

Cell: 6.829 6.829 6.829 Å, 90.00 90.00 90.00°
Space group Fm-3m (No. 225)
Asymmetric unit:
Rb1 0.000 0.000 0.000 [4 per cell]
V1 0.000 0.000 0.500 [4 per cell]
Pt1 0.250 0.250 0.250 [8 per cell]

***

A plane-wave DFT calculation with PBE was carried out for P4Ru3 after structural relaxation.

- Formation energy from the elements: 421 meV/atom

Cell: 5.4151 5.4151 4.0103 Å, 90.00 90.00 120.00°
Space group P6/mmm (No. 191)
Asymmetric unit:
P1 0.0000 0.0000 0.2468 [2 per cell]
P2 0.3333 0.6667 0.5000 [2 per cell]
Ru1 0.0000 0.5000 0.0000 [3 per cell]

***

A plane-wave DFT calculation with PBE was carried out for Zr2TaMn after structural relaxation.

- Formation energy from the elements: 242 meV/atom
- Energy relative to the lowest polymorph listed for this composition: 257.6 meV/atom

Cell: 5.839 9.335 2.966 Å, 90.00 109.83 90.00°
Space group C2/m (No. 12)
Asymmetric unit:
Zr1 0.250 0.250 0.000 [4 per cell]
Ta1 0.000 0.000 0.500 [2 per cell]
Mn1 0.000 0.500 0.500 [2 per cell]